# NaMnP2O

A relaxed NaMnP2O crystal (PBE+U, the Alexandria database).

The value obtained for the energy is -0.1666 Ha/atom. The calculation puts the energy above the lowest structure with this stoichiometry at 0.00 eV/f.u.

Unit cell a=4.861 b=4.861 c=3.472 alpha=90.00 beta=90.00 gamma=90.00
Space group P4/mmm (No. 123)
One atom of each set of equivalent atoms:
Na (0.000, 0.000, 0.000) [1 per cell]
Mn (0.500, 0.500, 0.500) [1 per cell]
P (0.000, 0.500, 0.500) [2 per cell]
O (0.500, 0.500, 0.000) [1 per cell]